The following is a DFT calculation (PBE) of a relaxed Ca3ZrZn crystal.

Results
Energy above the lowest structure with this stoichiometry (eV per formula unit): 2.29
ΔH_f (0 K) (eV/atom): 0.961

Lattice parameters (Å, degrees): 5.7223 5.7223 5.7223 90.00 90.00 90.00
Element x y z (fractional)
Ca 0.5000 0.0000 0.0000
Ca 0.0000 0.0000 0.5000
Ca 0.0000 0.5000 0.0000
Zn 0.5000 0.5000 0.5000
Zr 0.0000 0.0000 0.0000